VASP calculation (PBE) on a relaxed structure of Be2AsPb.

Results
- ΔE to the lowest computed polymorph (meV per atom) = 137
- total DFT energy (no corrections) (eV/atom) = -3.6024
- energy of formation from the pure elements (eV per atom) = 0.35

Cell and atoms, written as CIF:
```
data_Be2AsPb
_cell_length_a 3.167
_cell_length_b 3.167
_cell_length_c 7.583
_cell_angle_alpha 90.00
_cell_angle_beta 90.00
_cell_angle_gamma 90.00
_space_group_name_H-M_alt 'P 4 m m'
_space_group_IT_number 99
loop_
_space_group_symop_operation_xyz
'x,y,z'
'-y,x,z'
'-x,-y,z'
'y,-x,z'
'-x,y,z'
'y,x,z'
'x,-y,z'
'-y,-x,z'
loop_
_atom_site_label
_atom_site_type_symbol
_atom_site_fract_x
_atom_site_fract_y
_atom_site_fract_z
Be1 Be 0.000 0.000 0.000
Be2 Be 0.500 0.500 0.141
As1 As 0.500 0.500 0.845
Pb1 Pb 0.000 0.000 0.381
```